i:
DFT (PBE) results for a relaxed KCdW3 crystal.

Cell: 5.0424 5.0424 5.0424 Å, 90.00 90.00 90.00°
Fractional coordinates of all 5 atoms:
K 0.5000 0.5000 0.5000
W 0.0000 0.0000 0.5000
W 0.5000 0.0000 0.0000
W 0.0000 0.5000 0.0000
Cd 0.0000 0.0000 0.0000

D(E_F) = 1.849 states/eV per atom
space-group type = Pm-3m (221)

ii:
DFT (PBE) results for a relaxed KCdW3 crystal.

Cell: 4.5965 4.5965 4.5965 Å, 90.00 90.00 90.00°
Fractional coordinates of all 5 atoms:
W 0.5000 0.0000 0.0000
W 0.0000 0.5000 0.0000
W 0.0000 0.0000 0.5000
K 0.0000 0.0000 0.0000
Cd 0.5000 0.5000 0.5000

D(E_F) = 0.705 states/eV per atom
space-group type = Pm-3m (221)

In order of decreasing stability: i, ii.

i:
DFT (PBE) results for a relaxed KCd3W crystal.

Cell: 6.1234 6.1234 6.1234 Å, 90.00 90.00 90.00°
Site moments in Bohr magnetons follow the coordinates.
Fractional coordinates of all 5 atoms:
Cd 0.0000 0.0000 0.5000  0.02
Cd 0.5000 0.0000 0.0000  0.01
Cd 0.0000 0.5000 0.0000  0.00
W 0.5000 0.5000 0.5000  3.50
K 0.0000 0.0000 0.0000  0.00

D(E_F) = 0.223 states/eV per atom
space-group type = Pm-3m (221)

ii:
DFT (PBE) results for a relaxed KCd3W crystal.

Cell: 5.4952 5.4952 5.4952 Å, 90.00 90.00 90.00°
Site moments in Bohr magnetons follow the coordinates.
Fractional coordinates of all 5 atoms:
K 0.5000 0.5000 0.5000  0.00
Cd 0.5000 0.0000 0.0000  0.04
Cd 0.0000 0.5000 0.0000  0.07
Cd 0.0000 0.0000 0.5000  0.05
W 0.0000 0.0000 0.0000  1.84

D(E_F) = 0.764 states/eV per atom
space-group type = Pm-3m (221)

In order of decreasing stability: ii, i.

i:
DFT (PBE) results for a relaxed KY2Cd2 crystal.

Cell: 9.3951 9.3951 3.4697 Å, 90.00 90.00 90.00°
Fractional coordinates of all 10 atoms:
Y 0.1275 0.3725 0.0000
Y 0.8725 0.6275 0.0000
Y 0.3725 0.8725 0.0000
Y 0.6275 0.1275 0.0000
K 0.5000 0.5000 0.0000
K 0.0000 0.0000 0.0000
Cd 0.1668 0.6668 0.5000
Cd 0.3332 0.1668 0.5000
Cd 0.6668 0.8332 0.5000
Cd 0.8332 0.3332 0.5000

D(E_F) = 0.895 states/eV per atom
space-group type = P4/mbm (127)

ii:
DFT (PBE) results for a relaxed KY2Cd2 crystal.

Cell: 4.7497 4.7497 8.2148 Å, 73.20 73.20 90.00°
Fractional coordinates of all 5 atoms:
Y 0.7500 0.2500 0.5000
Y 0.2500 0.7500 0.5000
Cd 0.4001 0.4001 0.1998
Cd 0.5999 0.5999 0.8002
K 0.0000 0.0000 0.0000

D(E_F) = 1.188 states/eV per atom
space-group type = I4/mmm (139)

In order of decreasing stability: i, ii.

i:
DFT (PBE) results for a relaxed K3YCd crystal.

Cell: 6.5515 6.5515 6.5515 Å, 90.00 90.00 90.00°
Fractional coordinates of all 5 atoms:
K 0.0000 0.5000 0.0000
K 0.5000 0.0000 0.0000
K 0.0000 0.0000 0.5000
Cd 0.0000 0.0000 0.0000
Y 0.5000 0.5000 0.5000

D(E_F) = 1.508 states/eV per atom
space-group type = Pm-3m (221)

ii:
DFT (PBE) results for a relaxed K3YCd crystal.

Cell: 7.3708 7.3708 7.3708 Å, 90.00 90.00 90.00°
Site moments in Bohr magnetons follow the coordinates.
Fractional coordinates of all 5 atoms:
K 0.5000 0.0000 0.0000  0.05
K 0.0000 0.0000 0.5000  0.04
K 0.0000 0.5000 0.0000  0.04
Y 0.0000 0.0000 0.0000  0.93
Cd 0.5000 0.5000 0.5000  0.03

D(E_F) = 3.730 states/eV per atom
space-group type = Pm-3m (221)

In order of decreasing stability: i, ii.

i:
DFT (PBE) results for a relaxed KZnCd3 crystal.

Cell: 6.2536 7.0903 7.0914 Å, 120.00 90.00 90.00°
Fractional coordinates of all 10 atoms:
Cd 0.7500 0.6212 0.8106
Cd 0.2500 0.3788 0.1894
Cd 0.2499 0.8106 0.1894
Cd 0.7501 0.1894 0.8106
Cd 0.7500 0.1894 0.3788
Cd 0.2500 0.8106 0.6212
K 0.7499 0.6668 0.3334
K 0.2501 0.3332 0.6666
Zn 0.0000 0.0000 0.0000
Zn 0.5000 0.0000 0.0000

D(E_F) = 0.507 states/eV per atom
space-group type = P6_3/mmc (194)

ii:
DFT (PBE) results for a relaxed KZnCd3 crystal.

Cell: 5.3479 7.3751 7.5931 Å, 119.06 90.00 90.00°
Fractional coordinates of all 10 atoms:
Cd 0.2500 0.8071 0.6141
Cd 0.7500 0.6326 0.6833
Cd 0.2500 0.3674 0.3167
Cd 0.2500 0.9493 0.3167
Cd 0.7500 0.0507 0.6833
Cd 0.7500 0.1929 0.3859
K 0.7500 0.5946 0.1892
K 0.2500 0.4054 0.8108
Zn 0.0000 0.0000 0.0000
Zn 0.5000 0.0000 0.0000

D(E_F) = 0.452 states/eV per atom
space-group type = Cmcm (63)

In order of decreasing stability: ii, i.

i:
DFT (PBE) results for a relaxed K2ZnCd crystal.

Cell: 3.8683 4.0074 9.8945 Å, 90.00 90.00 90.00°
Fractional coordinates of all 4 atoms:
K 0.5000 0.5000 0.3251
K 0.0000 0.0000 0.9271
Cd 0.5000 0.5000 0.6737
Zn 0.0000 0.0000 0.5741

D(E_F) = 0.341 states/eV per atom
space-group type = Pmm2 (25)

ii:
DFT (PBE) results for a relaxed K2ZnCd crystal.

Cell: 11.0949 11.0949 11.0949 Å, 21.83 21.83 21.83°
Fractional coordinates of all 4 atoms:
Cd 0.7500 0.7500 0.7500
Zn 0.2500 0.2500 0.2500
K 0.9960 0.9960 0.9960
K 0.5040 0.5040 0.5040

D(E_F) = 0.897 states/eV per atom
space-group type = R-3m (166)

In order of decreasing stability: i, ii.

i:
DFT (PBE) results for a relaxed K2ZnCd2 crystal.

Cell: 7.5350 7.5350 5.8457 Å, 90.00 90.00 90.00°
Fractional coordinates of all 10 atoms:
Zn 0.0000 0.0000 0.0000
Zn 0.5000 0.5000 0.0000
Cd 0.1413 0.3587 0.0000
Cd 0.6413 0.1413 0.0000
Cd 0.8587 0.6413 0.0000
Cd 0.3587 0.8587 0.0000
K 0.8219 0.3219 0.5000
K 0.3219 0.1781 0.5000
K 0.6781 0.8219 0.5000
K 0.1781 0.6781 0.5000

D(E_F) = 0.543 states/eV per atom
space-group type = P4/mbm (127)

ii:
DFT (PBE) results for a relaxed K2ZnCd2 crystal.

Cell: 4.1897 4.1897 10.9447 Å, 78.97 78.97 90.00°
Fractional coordinates of all 5 atoms:
K 0.6019 0.6019 0.7962
K 0.3981 0.3981 0.2038
Cd 0.2500 0.7500 0.5000
Cd 0.7500 0.2500 0.5000
Zn 0.0000 0.0000 0.0000

D(E_F) = 0.309 states/eV per atom
space-group type = I4/mmm (139)

In order of decreasing stability: i, ii.

i:
DFT (PBE) results for a relaxed K2ZnCd2 crystal.

Cell: 4.8398 6.0468 6.9493 Å, 115.79 110.38 90.00°
Fractional coordinates of all 5 atoms:
K 0.8049 0.3049 0.6099
K 0.1951 0.6951 0.3901
Cd 0.5000 0.2459 0.0000
Cd 0.5000 0.7541 0.0000
Zn 0.0000 0.0000 0.0000

D(E_F) = 0.329 states/eV per atom
space-group type = Immm (71)

ii:
DFT (PBE) results for a relaxed K2ZnCd2 crystal.

Cell: 4.9387 4.9387 16.5493 Å, 98.58 98.58 90.00°
Fractional coordinates of all 10 atoms:
Zn 0.2500 0.7500 0.5000
Zn 0.5000 0.5000 0.0000
Cd 0.4632 0.9632 0.9264
Cd 0.2868 0.2868 0.5736
Cd 0.0368 0.5368 0.0736
Cd 0.7132 0.7132 0.4264
K 0.8257 0.8257 0.6514
K 0.1743 0.1743 0.3486
K 0.9243 0.4243 0.8486
K 0.5757 0.0757 0.1514

D(E_F) = 0.671 states/eV per atom
space-group type = I4_1/amd (141)

In order of decreasing stability: i, ii.

i:
DFT (PBE) results for a relaxed KZn2Cd2 crystal.

Cell: 8.8930 8.8930 2.8676 Å, 90.00 90.00 90.00°
Fractional coordinates of all 10 atoms:
Zn 0.6536 0.8464 0.5000
Zn 0.1536 0.6536 0.5000
Zn 0.8464 0.3464 0.5000
Zn 0.3464 0.1536 0.5000
K 0.0000 0.0000 0.0000
K 0.5000 0.5000 0.0000
Cd 0.8616 0.6384 0.0000
Cd 0.3616 0.8616 0.0000
Cd 0.1384 0.3616 0.0000
Cd 0.6384 0.1384 0.0000

D(E_F) = 0.296 states/eV per atom
space-group type = P4/mbm (127)

ii:
DFT (PBE) results for a relaxed KZn2Cd2 crystal.

Cell: 8.4222 8.4222 3.3522 Å, 90.00 90.00 90.00°
Fractional coordinates of all 10 atoms:
Zn 0.6138 0.1138 0.0000
Zn 0.3862 0.8862 0.0000
Zn 0.1138 0.3862 0.0000
Zn 0.8862 0.6138 0.0000
Cd 0.3225 0.1775 0.5000
Cd 0.6775 0.8225 0.5000
Cd 0.1775 0.6775 0.5000
Cd 0.8225 0.3225 0.5000
K 0.5000 0.5000 0.0000
K 0.0000 0.0000 0.0000

D(E_F) = 0.299 states/eV per atom
space-group type = P4/mbm (127)

In order of decreasing stability: i, ii.

i:
DFT (PBE) results for a relaxed KZn2Cd2 crystal.

Cell: 4.6481 4.6481 6.7453 Å, 69.85 69.85 90.00°
Fractional coordinates of all 5 atoms:
Cd 0.2500 0.7500 0.5000
Cd 0.7500 0.2500 0.5000
Zn 0.6094 0.6094 0.7812
Zn 0.3906 0.3906 0.2188
K 0.0000 0.0000 0.0000

D(E_F) = 0.464 states/eV per atom
space-group type = I4/mmm (139)

ii:
DFT (PBE) results for a relaxed KZn2Cd2 crystal.

Cell: 4.9032 4.9032 6.5180 Å, 67.91 67.91 90.00°
Fractional coordinates of all 5 atoms:
Zn 0.2500 0.7500 0.5000
Zn 0.7500 0.2500 0.5000
Cd 0.6318 0.6318 0.7364
Cd 0.3682 0.3682 0.2636
K 0.0000 0.0000 0.0000

D(E_F) = 0.440 states/eV per atom
space-group type = I4/mmm (139)

In order of decreasing stability: i, ii.

i:
DFT (PBE) results for a relaxed KZrCd3 crystal.

Cell: 5.4484 5.4484 5.4484 Å, 90.00 90.00 90.00°
Site moments in Bohr magnetons follow the coordinates.
Fractional coordinates of all 5 atoms:
Zr 0.5000 0.5000 0.5000  0.57
K 0.0000 0.0000 0.0000  0.00
Cd 0.0000 0.0000 0.5000  0.00
Cd 0.5000 0.0000 0.0000  -0.01
Cd 0.0000 0.5000 0.0000  0.00

D(E_F) = 0.934 states/eV per atom
space-group type = Pm-3m (221)

ii:
DFT (PBE) results for a relaxed KZrCd3 crystal.

Cell: 5.7612 5.7612 5.7612 Å, 90.00 90.00 90.00°
Site moments in Bohr magnetons follow the coordinates.
Fractional coordinates of all 5 atoms:
Cd 0.5000 0.0000 0.0000  0.07
Cd 0.0000 0.0000 0.5000  0.02
Cd 0.0000 0.5000 0.0000  0.04
K 0.5000 0.5000 0.5000  0.00
Zr 0.0000 0.0000 0.0000  0.77

D(E_F) = 1.360 states/eV per atom
space-group type = Pm-3m (221)

In order of decreasing stability: ii, i.

i:
DFT (PBE) results for a relaxed KZr3Cd crystal.

Cell: 4.9833 4.9833 4.9833 Å, 90.00 90.00 90.00°
Site moments in Bohr magnetons follow the coordinates.
Fractional coordinates of all 5 atoms:
Zr 0.0000 0.5000 0.0000  0.36
Zr 0.5000 0.0000 0.0000  0.31
Zr 0.0000 0.0000 0.5000  0.46
Cd 0.5000 0.5000 0.5000  0.00
K 0.0000 0.0000 0.0000  0.18

D(E_F) = 1.440 states/eV per atom
space-group type = Pm-3m (221)

ii:
DFT (PBE) results for a relaxed KZr3Cd crystal.

Cell: 5.4490 5.4490 5.4490 Å, 90.00 90.00 90.00°
Site moments in Bohr magnetons follow the coordinates.
Fractional coordinates of all 5 atoms:
K 0.5000 0.5000 0.5000  0.01
Cd 0.0000 0.0000 0.0000  0.02
Zr 0.0000 0.0000 0.5000  0.16
Zr 0.0000 0.5000 0.0000  0.19
Zr 0.5000 0.0000 0.0000  0.17

D(E_F) = 2.052 states/eV per atom
space-group type = Pm-3m (221)

In order of decreasing stability: ii, i.